Entry 1:
A geometry-optimized Ac4IrN2 structure, computed with PBE.

As for the density of states at the Fermi level: 4.83 states/eV/f.u. The calculation puts the calculated total energy at -6.75 eV per atom.

The space group is Cmcm (No. 63) and the conventional cell measures 4.029, 13.150 and 13.466 Å, with angles of 90.00, 90.00 and 90.00 degrees. The distinct sites, in fractional coordinates, are Ac at (0.000, 0.000, 0.000), Ac at (0.000, 0.277, 0.112), Ac at (0.000, 0.437, 0.750), Ir at (0.000, 0.104, 0.750) and N at (0.000, 0.369, 0.554).

---

Entry 2:
A geometry-optimized AlAgC structure, computed with PBE.

As for the density of states at the Fermi level: 0.70 states/eV/f.u. The formation energy is 0.623 eV/atom. The calculation puts the calculated total energy at -4.65 eV per atom.

The space group is Imma (No. 74) and the conventional cell measures 6.072, 9.331 and 2.874 Å, with angles of 90.00, 90.00 and 90.00 degrees. The distinct sites, in fractional coordinates, are Al at (0.250, 0.250, 0.250), Ag at (0.000, 0.000, 0.000) and C at (0.000, 0.250, 0.789).

---

Entry 3:
A geometry-optimized Pu3Tl3BiSe8 structure, computed with PBE.

As for the density of states at the Fermi level: 31.53 states/eV/f.u. The calculation puts the calculated total energy at -6.42 eV per atom.

The space group is C2/m (No. 12) and the conventional cell measures 14.639, 8.446 and 9.123 Å, with angles of 90.00, 122.42 and 90.00 degrees. The distinct sites, in fractional coordinates, are Pu at (0.000, 0.000, 0.000), Pu at (0.250, 0.250, 0.000), Tl at (0.000, 0.500, 0.500), Tl at (0.250, 0.250, 0.500), Bi at (0.000, 0.500, 0.000), Se at (0.018, 0.242, 0.795), Se at (0.234, 0.000, 0.203) and Se at (0.240, 0.500, 0.205).

---

Entry 4:
A geometry-optimized ScTaHg structure, computed with PBE.

As for the density of states at the Fermi level: 1.76 states/eV/f.u. The formation energy is 0.081 eV/atom. The calculation puts the calculated total energy at -6.08 eV per atom.

The space group is P3m1 (No. 156) and the conventional cell measures 3.1460, 3.1460 and 7.3162 Å, with angles of 90.00, 90.00 and 120.00 degrees. The distinct sites, in fractional coordinates, are Sc at (0.0000, 0.0000, 0.0000), Ta at (0.6667, 0.3333, 0.3184) and Hg at (0.3333, 0.6667, 0.6561).

---

Entry 5:
A geometry-optimized LaY2BiIr structure, computed with PBE.

As for the density of states at the Fermi level: 4.29 states/eV/f.u. The formation energy is -0.594 eV/atom. The calculation puts the calculated total energy at -6.71 eV per atom.

The space group is P4/mmm (No. 123) and the conventional cell measures 5.446, 5.446 and 5.474 Å, with angles of 90.00, 90.00 and 90.00 degrees. The distinct sites, in fractional coordinates, are La at (0.000, 0.000, 0.000), Y at (0.000, 0.500, 0.500), Bi at (0.500, 0.500, 0.000) and Ir at (0.000, 0.000, 0.500).

---

Entry 6:
A geometry-optimized PmZnIn2 structure, computed with PBE.

As for the density of states at the Fermi level: 2.02 states/eV/f.u. The formation energy is -0.384 eV/atom. The calculation puts the calculated total energy at -3.26 eV per atom.

The space group is P4/mmm (No. 123) and the conventional cell measures 4.564, 4.564 and 4.593 Å, with angles of 90.00, 90.00 and 90.00 degrees. The distinct sites, in fractional coordinates, are Pm at (0.000, 0.000, 0.000), Zn at (0.500, 0.500, 0.000) and In at (0.000, 0.500, 0.500).

---

Entry 7:
A geometry-optimized TaSb2CI structure, computed with PBE.

As for the density of states at the Fermi level: 4.67 states/eV/f.u. The calculation puts the calculated total energy at -4.75 eV per atom.

The space group is P4/mmm (No. 123) and the conventional cell measures 4.660, 4.660 and 4.809 Å, with angles of 90.00, 90.00 and 90.00 degrees. The distinct sites, in fractional coordinates, are Ta at (0.000, 0.000, 0.000), Sb at (0.000, 0.500, 0.500), C at (0.500, 0.500, 0.500) and I at (0.500, 0.500, 0.000).

---

Entry 8:
A geometry-optimized AsPCI structure, computed with PBE.

As for the density of states at the Fermi level: 0.93 states/eV/f.u. The calculation puts the calculated total energy at -4.54 eV per atom.

The space group is P1 (No. 1) and the conventional cell measures 4.584, 4.680 and 6.718 Å, with angles of 99.25, 101.09 and 113.74 degrees. The distinct sites, in fractional coordinates, are As at (0.000, 0.000, 0.000), P at (0.598, 0.181, 0.773), C at (0.781, 0.565, 0.881) and I at (0.770, 0.024, 0.343).

---

Entry 9:
A geometry-optimized LaAl3 structure, computed with PBE.

As for the density of states at the Fermi level: 2.35 states/eV/f.u. The formation energy is -0.225 eV/atom. The calculation puts the calculated total energy at -4.26 eV per atom.

The space group is Pmmm (No. 47) and the conventional cell measures 3.206, 3.883 and 7.025 Å, with angles of 90.00, 90.00 and 90.00 degrees. The distinct sites, in fractional coordinates, are La at (0.000, 0.000, 0.000), Al at (0.000, 0.000, 0.500) and Al at (0.500, 0.500, 0.310).

---

Entry 10:
A geometry-optimized CaTb5Au6 structure, computed with PBE.

As for the density of states at the Fermi level: 5.76 states/eV/f.u. The formation energy is -0.846 eV/atom. The calculation puts the calculated total energy at -4.58 eV per atom.

The space group is C2/m (No. 12) and the conventional cell measures 16.170, 7.232 and 5.110 Å, with angles of 90.00, 108.15 and 90.00 degrees. The distinct sites, in fractional coordinates, are Ca at (0.000, 0.000, 0.000), Tb at (0.000, 0.500, 0.000), Tb at (0.162, 0.000, 0.662), Tb at (0.168, 0.500, 0.668), Au at (0.000, 0.263, 0.500) and Au at (0.172, 0.258, 0.172).

---

Entry 11:
A geometry-optimized BiS6Cl2 structure, computed with PBE.

As for the density of states at the Fermi level: 1.00 states/eV/f.u. The calculation puts the calculated total energy at -3.76 eV per atom.

The space group is P-1 (No. 2) and the conventional cell measures 4.246, 7.202 and 9.497 Å, with angles of 67.88, 89.48 and 89.17 degrees. The distinct sites, in fractional coordinates, are Bi at (0.000, 0.000, 0.000), S at (0.085, 0.133, 0.643), S at (0.098, 0.154, 0.284), S at (0.121, 0.725, 0.573) and Cl at (0.497, 0.270, 0.922).